Pr2TmCu2Ge2: relaxed, PBE.

Cell: 4.2507 4.2507 10.6762 Å, 78.52 78.52 60.00°
Fractional positions:
Pr 0.8807 0.8807 0.3579
Cu 0.3855 0.3855 0.8434
Pr 0.1193 0.1193 0.6421
Ge 0.7243 0.7243 0.8272
Ge 0.2757 0.2757 0.1728
Tm 0.0000 0.0000 0.0000
Cu 0.6145 0.6145 0.1566

Uncorrected energy ... -5.00 eV/atom

Pr2YCu2Ge2: relaxed, PBE.

Cell: 4.2552 4.2552 10.8304 Å, 78.67 78.67 60.00°
Fractional positions:
Cu 0.3888 0.3888 0.8335
Y 0.0000 0.0000 0.0000
Ge 0.7257 0.7257 0.8229
Pr 0.1198 0.1198 0.6406
Pr 0.8802 0.8802 0.3594
Cu 0.6112 0.6112 0.1665
Ge 0.2743 0.2743 0.1771

Uncorrected energy ... -5.29 eV/atom

PrYCu2Ge2: relaxed, PBE.

Cell: 4.2829 4.2829 7.6702 Å, 90.00 90.00 120.00°
Fractional positions:
Ge 0.6667 0.3333 0.7393
Y 0.0000 0.0000 0.5000
Cu 0.6667 0.3333 0.2697
Pr 0.0000 0.0000 0.0000
Cu 0.3333 0.6667 0.7303
Ge 0.3333 0.6667 0.2607

Uncorrected energy ... -5.46 eV/atom